No. 1
# NaGaW2O8 | the Alexandria database | PBE with a Hubbard U | relaxed
data_NaGaW2O8
_cell_length_a 5.798
_cell_length_b 5.056
_cell_length_c 9.986
_cell_angle_alpha 89.20
_cell_angle_beta 90.00
_cell_angle_gamma 90.00
_space_group_name_H-M_alt 'P 1'
_space_group_IT_number 1
loop_
_space_group_symop_operation_xyz
'x,y,z'
loop_
_atom_site_label
_atom_site_type_symbol
_atom_site_fract_x
_atom_site_fract_y
_atom_site_fract_z
O1 O 0.378 0.121 0.353
O2 O 0.378 0.379 0.647
O3 O 0.622 0.879 0.647
O4 O 0.091 0.948 0.672
O5 O 0.622 0.621 0.353
Na1 Na 0.688 0.250 0.500
W1 W 0.822 0.760 0.766
Na2 Na 0.312 0.750 0.500
O6 O 0.909 0.052 0.328
O7 O 0.875 0.080 0.877
O8 O 0.621 0.589 0.894
O9 O 0.379 0.089 0.894
O10 O 0.091 0.552 0.328
Ga1 Ga 0.340 0.750 0.000
Ga2 Ga 0.660 0.250 0.000
W2 W 0.178 0.260 0.766
W3 W 0.178 0.240 0.234
W4 W 0.822 0.740 0.234
O11 O 0.875 0.420 0.123
O12 O 0.125 0.580 0.877
O13 O 0.621 0.911 0.106
O14 O 0.125 0.920 0.123
O15 O 0.379 0.411 0.106
O16 O 0.909 0.448 0.672
# space group: No. 13
# relative energy among the computed polymorphs: 0.000 eV/atom

No. 2
# Na2GaWO6 | the Alexandria database | PBE with a Hubbard U | relaxed
data_Na2GaWO6
_cell_length_a 5.482
_cell_length_b 5.506
_cell_length_c 7.777
_cell_angle_alpha 90.00
_cell_angle_beta 89.99
_cell_angle_gamma 90.00
_space_group_name_H-M_alt 'P 1'
_space_group_IT_number 1
loop_
_space_group_symop_operation_xyz
'x,y,z'
loop_
_atom_site_label
_atom_site_type_symbol
_atom_site_fract_x
_atom_site_fract_y
_atom_site_fract_z
O1 O 0.273 0.722 0.021
O2 O 0.043 0.494 0.753
O3 O 0.778 0.773 0.978
O4 O 0.457 0.994 0.747
O5 O 0.773 0.778 0.521
W1 W 0.000 0.500 0.000
W2 W 0.500 0.000 0.500
Ga1 Ga 0.500 0.000 0.000
Na1 Na 0.501 0.511 0.750
O6 O 0.543 0.006 0.253
Na2 Na 0.499 0.489 0.250
Na3 Na 0.001 0.989 0.250
Na4 Na 0.999 0.011 0.750
O7 O 0.222 0.227 0.022
O8 O 0.278 0.727 0.478
O9 O 0.727 0.278 0.979
O10 O 0.722 0.273 0.522
Ga2 Ga 0.000 0.500 0.500
O11 O 0.227 0.222 0.479
O12 O 0.957 0.506 0.247
# calculated total energy: -6.018 eV/atom
# space group: No. 14

No. 3
# NaGaW2O8 | the Alexandria database | PBE with a Hubbard U | relaxed
data_NaGaW2O8
_cell_length_a 5.919
_cell_length_b 5.919
_cell_length_c 5.919
_cell_angle_alpha 107.69
_cell_angle_beta 107.69
_cell_angle_gamma 113.10
_space_group_name_H-M_alt 'P 1'
_space_group_IT_number 1
loop_
_space_group_symop_operation_xyz
'x,y,z'
loop_
_atom_site_label
_atom_site_type_symbol
_atom_site_fract_x
_atom_site_fract_y
_atom_site_fract_z
Ga1 Ga 0.250 0.750 0.500
O1 O 0.343 0.126 0.783
Na1 Na 0.000 0.000 0.000
O2 O 0.874 0.657 0.217
O3 O 0.772 0.073 0.699
O4 O 0.927 0.625 0.699
O5 O 0.375 0.073 0.301
W1 W 0.500 0.500 0.000
W2 W 0.750 0.250 0.500
O6 O 0.440 0.657 0.783
O7 O 0.927 0.228 0.301
O8 O 0.343 0.560 0.217
# space group: No. 119
# relative energy among the computed polymorphs: 0.314 eV/atom